Record 1
Below is a relaxed Cr2CdBr crystal, with properties calculated at the PBE-GGA level.

```
Cr2CdBr
1.0
8.4489 -0.2772 -0.1632
7.8673 3.0929 -0.1632
7.8673 1.3577 2.7838
Cd Cr Br
1 2 1
Direct
0.7500 0.7500 0.7500
0.5019 0.5019 0.5019
0.9981 0.9981 0.9981
0.2500 0.2500 0.2500
```

Summary:
Its uncorrected formation energy is 0.488 eV/atom. For the total energy, the calculation gives -4.97 eV/atom.

Record 2
Below is a relaxed Ba2CrCu crystal, with properties calculated at the PBE-GGA level.

```
Ba2CrCu
1.0
0.0000 4.0814 4.0814
4.0814 0.0000 4.0814
4.0814 4.0814 0.0000
Cr Ba Cu
1 2 1
Direct
0.0000 0.0000 0.0000
0.7500 0.7500 0.7500
0.2500 0.2500 0.2500
0.5000 0.5000 0.5000
```

Summary:
The calculation puts the calculated formation energy at 493 meV per atom. For the total energy, the calculation gives -3.90 eV/atom.

Record 3
Below is a relaxed ZnSi2Tc crystal, with properties calculated at the PBE-GGA level.

```
ZnSi2Tc
1.0
-1.5317 -1.9269 2.1619
2.8107 -1.5781 0.5848
1.0840 3.3080 3.7163
Si Zn Tc
2 1 1
Direct
0.0000 0.0000 0.9914
0.5000 0.5000 0.2622
0.5000 0.5000 0.7692
0.0000 0.0000 0.4772
```

Summary:
Its uncorrected formation energy is -0.111 eV/atom. For the total energy, the calculation gives -5.73 eV/atom.

Number 1: total magnetic moment 8.44 μB/f.u.. Number 2: total magnetic moment 4.79 μB/f.u.. Number 3: total magnetic moment 0.00 μB/f.u..